# PBEsol SrMgScRu2, optimized geometry
data_SrMgScRu2
_cell_length_a 4.708
_cell_length_b 4.708
_cell_length_c 5.189
_cell_angle_alpha 90.00
_cell_angle_beta 90.00
_cell_angle_gamma 90.00
_space_group_name_H-M_alt 'P 4/m m m'
_space_group_IT_number 123
_space_group_name_Hall '-P 4 2'
loop_
_atom_site_label
_atom_site_fract_x
_atom_site_fract_y
_atom_site_fract_z
Sr1 0.000 0.000 0.000
Mg1 0.500 0.500 0.000
Sc1 0.500 0.500 0.500
Ru1 0.000 0.500 0.500
# Polymorph energy (0 for the lowest one): 0 meV/atom
# Total DFT energy (no corrections): -26.44 eV for the cell shown
# Total magnetization: 0.265 μB per formula unit
# Volume: 23.0 A^3/atom
# Formation energy from the elements: 0.8136 eV per atom